1.
Computed, not measured: Ba2CdTc2 after structural relaxation at the PBE level of DFT.

```
10
Lattice="-2.761 5.711 -6.934 2.839 -6.328 -6.342 -3.094 -1.437 0.049" Properties=species:S:1:pos:R:3 pbc="T T T"
Tc 1.452 -3.423 -8.740
Tc -0.891 1.578 -10.058
Tc -1.374 2.806 -4.536
Tc 0.968 -2.195 -3.219
Ba -0.112 -4.006 -5.813
Ba -1.214 -1.773 -9.904
Ba -2.905 1.953 -7.415
Ba -1.803 -0.281 -3.324
Cd 0.000 0.000 0.000
Cd 0.039 -0.309 -6.638
```

Computed properties:
The calculation puts the polymorph energy (0 for the lowest one) at 314 meV per atom. For the energy relative to the elements, the calculation gives 708 meV/atom.

2.
Computed, not measured: GaNi2H after structural relaxation at the PBE level of DFT.

```
4
Lattice="2.725 0.000 0.000 1.363 2.360 0.000 1.363 0.787 5.966" Properties=species:S:1:pos:R:3 pbc="T T T"
Ni 1.363 0.787 1.041
Ni 4.088 2.360 4.925
Ga 2.725 1.574 2.983
H 0.000 0.000 0.000
```

Computed properties:
The calculation puts the polymorph energy (0 for the lowest one) at 23 meV per atom.

3.
Computed, not measured: TiBrNO2 after structural relaxation at the PBE level of DFT.

```
5
Lattice="-0.567 3.161 -2.213 -0.757 -2.285 -3.069 -4.029 -0.018 1.007" Properties=species:S:1:pos:R:3 pbc="T T T"
N -2.014 -0.009 0.504
O -0.379 -1.142 -1.534
O -0.284 1.580 -1.107
Br 0.000 0.000 0.000
Ti -2.677 0.429 -2.137
```

Computed properties:
The value obtained for the uncorrected formation energy is 811 meV/atom.

4.
Computed, not measured: Ta3CuRe after structural relaxation at the PBE level of DFT.

```
5
Lattice="-3.175 -3.230 1.689 3.578 -2.333 2.264 -0.698 2.738 3.923" Properties=species:S:1:pos:R:3 pbc="T T T"
Re 0.000 0.000 0.000
Cu -0.148 -1.413 3.938
Ta 1.789 -1.166 1.132
Ta -0.349 1.369 1.961
Ta -1.588 -1.615 0.845
```

Computed properties:
The calculation puts the polymorph energy (0 for the lowest one) at 64 meV per atom. For the energy relative to the elements, the calculation gives 1465 meV/atom.

5.
Computed, not measured: La2MoAu2 after structural relaxation at the PBE level of DFT.

```
5
Lattice="5.894 0.000 0.000 0.000 5.894 0.000 2.947 2.947 4.074" Properties=species:S:1:pos:R:3 pbc="T T T"
Mo 0.000 0.000 0.000
Au 2.947 2.947 1.316
Au 5.894 5.894 2.758
La 5.894 2.947 2.037
La 2.947 5.894 2.037
```

Computed properties:
The calculation puts the polymorph energy (0 for the lowest one) at 158 meV per atom. For the energy relative to the elements, the calculation gives 66 meV/atom.

6.
Computed, not measured: PmGaSn after structural relaxation at the PBE level of DFT.

```
3
Lattice="-4.096 0.411 -2.613 -3.935 -2.614 1.208 -3.902 2.210 1.915" Properties=species:S:1:pos:R:3 pbc="T T T"
Sn 0.000 0.000 0.000
Ga -2.983 0.002 0.128
Pm -5.967 0.003 0.255
```

Computed properties:
The calculation puts the polymorph energy (0 for the lowest one) at 269 meV per atom. For the energy relative to the elements, the calculation gives -357 meV/atom.

7.
Computed, not measured: Ti2Mn after structural relaxation at the PBE level of DFT.

```
3
Lattice="3.876 0.000 -0.360 0.000 4.377 0.000 -2.178 -2.189 3.098" Properties=species:S:1:pos:R:3 pbc="T T T"
Ti 1.820 0.000 1.280
Ti -0.122 2.189 1.458
Mn 0.000 0.000 0.000
```

Computed properties:
For the energy relative to the elements, the calculation gives 222 meV/atom.

8.
Computed, not measured: PrPaAu4 after structural relaxation at the PBE level of DFT.

```
6
Lattice="2.705 -4.661 0.000 2.705 4.661 0.000 0.000 0.000 5.415" Properties=species:S:1:pos:R:3 pbc="T T T"
Pr 2.705 0.000 0.000
Pa 0.000 0.000 2.708
Au 2.705 -1.578 2.708
Au 2.705 1.578 2.708
Au 2.705 3.121 0.000
Au 2.705 -3.121 0.000
```

Computed properties:
For the energy relative to the elements, the calculation gives -535 meV/atom.

9.
Computed, not measured: KTa2Se after structural relaxation at the PBE level of DFT.

```
4
Lattice="-3.247 0.019 4.062 5.215 -4.448 0.822 1.878 1.540 1.417" Properties=species:S:1:pos:R:3 pbc="T T T"
K 3.546 -1.454 1.120
Se 0.984 -2.215 2.442
Ta 0.000 0.000 0.000
Ta -0.685 0.779 2.740
```

Computed properties:
The value obtained for the uncorrected formation energy is 810 meV/atom.

10.
Computed, not measured: K5Hg3 after structural relaxation at the PBE level of DFT.

```
16
Lattice="10.446 0.000 0.000 -5.223 9.046 0.000 0.000 0.000 7.432" Properties=species:S:1:pos:R:3 pbc="T T T"
Hg 6.296 0.000 1.858
Hg 4.150 0.000 5.574
Hg -3.148 5.452 1.858
Hg 2.075 3.594 1.858
Hg 3.148 5.452 5.574
Hg -2.075 3.594 5.574
K 0.000 6.031 0.000
K 5.223 3.015 3.716
K 5.223 3.015 0.000
K 0.000 6.031 3.716
K 2.674 0.000 1.858
K 7.772 0.000 5.574
K -1.337 2.316 1.858
K 3.886 6.731 1.858
K 1.337 2.316 5.574
K -3.886 6.731 5.574
```

Computed properties:
The calculation puts the polymorph energy (0 for the lowest one) at 22 meV per atom. For the energy relative to the elements, the calculation gives -176 meV/atom.

11.
Computed, not measured: SrIn2Cu after structural relaxation at the PBE level of DFT.

```
4
Lattice="-3.993 0.093 2.029 0.648 -3.552 1.438 2.929 0.701 5.731" Properties=species:S:1:pos:R:3 pbc="T T T"
Cu 0.857 -2.704 6.757
In 3.454 -2.187 6.897
In -1.308 -0.603 2.400
Sr 1.945 -1.542 3.898
```

Computed properties:
For the energy relative to the elements, the calculation gives -112 meV/atom.

12.
Computed, not measured: VC4 after structural relaxation at the PBE level of DFT.

```
5
Lattice="-1.475 -0.682 3.534 0.179 -3.828 -0.664 3.595 -0.089 1.484" Properties=species:S:1:pos:R:3 pbc="T T T"
C 0.000 0.000 0.000
C 1.060 -0.385 2.509
C 1.887 -1.959 0.410
C -0.648 -2.255 1.435
V 1.149 -2.299 2.177
```

Computed properties:
For the energy relative to the elements, the calculation gives 3158 meV/atom.

Values of N(E_F), in order: 10.91 1.43 4.58 3.76 5.63 3.15 3.10 5.87 4.32 10.61 2.12 3.53, all in states/eV/cell.